Density functional theory data (PBE) for Rb6Hg12Au after structural relaxation.

Its formation energy is -3.733 eV/f.u.

It has space group R-3 (No. 148, hexagonal axes), with a = 14.4224 Å, b = 14.4224 Å, c = 12.5408 Å, α = 90.00°, β = 90.00° and γ = 120.00°. The inequivalent atoms are Rb at (0.0134, 0.1879, 0.2457), Hg at (0.0032, 0.7925, 0.0426), Hg at (0.0373, 0.2256, 0.5404) and Au at (0.0000, 0.0000, 0.0000).

---

Density functional theory data (PBE) for CaBe2Au6 after structural relaxation.

Its formation energy is -1.701 eV/f.u. The calculation puts the polymorph energy (0 for the lowest one) at 10.8 kJ/mol of atoms.

It has space group Fd-3m (No. 227, origin choice 2), with a = 11.339 Å, b = 11.339 Å, c = 11.339 Å, α = 90.00°, β = 90.00° and γ = 90.00°. The inequivalent atoms are Ca at (0.125, 0.125, 0.125), Be at (0.000, 0.000, 0.500) and Au at (0.103, 0.375, 0.875).

---

Density functional theory data (PBE) for Tl4Si3 after structural relaxation.

The calculation puts the raw formation energy at 8.9 kcal/mol of atoms.

It has space group P6/mmm (No. 191), with a = 5.4264 Å, b = 5.4264 Å, c = 6.7849 Å, α = 90.00°, β = 90.00° and γ = 120.00°. The inequivalent atoms are Tl at (0.0000, 0.0000, 0.2456), Tl at (0.3333, 0.6667, 0.0000) and Si at (0.0000, 0.5000, 0.5000).

---

Density functional theory data (PBE) for K3CaP after structural relaxation.

Its formation energy is 0.533 eV/f.u. The calculation puts the polymorph energy (0 for the lowest one) at 0.0 kJ/mol of atoms.

It has space group Pm-3m (No. 221), with a = 6.364 Å, b = 6.364 Å, c = 6.364 Å, α = 90.00°, β = 90.00° and γ = 90.00°. The inequivalent atoms are K at (0.000, 0.000, 0.500), Ca at (0.500, 0.500, 0.500) and P at (0.000, 0.000, 0.000).

---

Density functional theory data (PBE) for Ba2ZnIr after structural relaxation.

Its formation energy is -0.517 eV/f.u.

It has space group Imm2 (No. 44), with a = 4.472 Å, b = 4.523 Å, c = 15.836 Å, α = 90.00°, β = 90.00° and γ = 90.00°. The inequivalent atoms are Ba at (0.000, 0.000, 0.000), Ba at (0.000, 0.500, 0.229), Zn at (0.000, 0.500, 0.655) and Ir at (0.000, 0.000, 0.590).

---

Density functional theory data (PBE) for HfMgS2 after structural relaxation.

The calculation puts the raw formation energy at -18.7 kcal/mol of atoms. The calculation puts the polymorph energy (0 for the lowest one) at 39.2 kJ/mol of atoms.

It has space group Fm-3m (No. 225), with a = 6.441 Å, b = 6.441 Å, c = 6.441 Å, α = 90.00°, β = 90.00° and γ = 90.00°. The inequivalent atoms are Hf at (0.000, 0.000, 0.000), Mg at (0.000, 0.000, 0.500) and S at (0.250, 0.250, 0.250).

---

Density functional theory data (PBE) for Sr2Ca6Pr after structural relaxation.

Its formation energy is 0.612 eV/f.u.

It has space group P-6m2 (No. 187), with a = 3.9234 Å, b = 3.9234 Å, c = 29.6465 Å, α = 90.00°, β = 90.00° and γ = 120.00°. The inequivalent atoms are Sr at (0.0000, 0.0000, 0.1747), Ca at (0.0000, 0.0000, 0.3974), Ca at (0.6667, 0.3333, 0.0615), Ca at (0.6667, 0.3333, 0.2892) and Pr at (0.6667, 0.3333, 0.5000).

---

Density functional theory data (PBE) for CaPrDy2Hg4 after structural relaxation.

Its formation energy is -3.949 eV/f.u.

It has space group R-3m (No. 166, hexagonal axes), with a = 5.3155 Å, b = 5.3155 Å, c = 26.2824 Å, α = 90.00°, β = 90.00° and γ = 120.00°. The inequivalent atoms are Ca at (0.0000, 0.0000, 0.0000), Pr at (0.0000, 0.0000, 0.5000), Dy at (0.0000, 0.0000, 0.2527), Hg at (0.0000, 0.0000, 0.1233) and Hg at (0.0000, 0.0000, 0.3746).

---

Density functional theory data (PBE) for BaNaNb after structural relaxation.

Its formation energy is 3.495 eV/f.u. The calculation puts the polymorph energy (0 for the lowest one) at 80.0 kJ/mol of atoms.

It has space group P6_3/mmc (No. 194), with a = 6.0459 Å, b = 6.0459 Å, c = 7.1414 Å, α = 90.00°, β = 90.00° and γ = 120.00°. The inequivalent atoms are Ba at (0.3333, 0.6667, 0.2500), Na at (0.0000, 0.0000, 0.0000) and Nb at (0.3333, 0.6667, 0.7500).

---

Density functional theory data (PBE) for La3In5Se12 after structural relaxation.

The calculation puts the raw formation energy at -24.8 kcal/mol of atoms.

It has space group Ia-3d (No. 230), with a = 16.778 Å, b = 16.778 Å, c = 16.778 Å, α = 90.00°, β = 90.00° and γ = 90.00°. The inequivalent atoms are La at (0.000, 0.250, 0.125), In at (0.000, 0.000, 0.000), In at (0.000, 0.250, 0.375) and Se at (0.023, 0.063, 0.651).

---

Density functional theory data (PBE) for Mg2Ni2Ge after structural relaxation.

Its formation energy is -1.307 eV/f.u. The calculation puts the polymorph energy (0 for the lowest one) at 6.6 kJ/mol of atoms.

It has space group P4/mbm (No. 127), with a = 6.089 Å, b = 6.089 Å, c = 4.159 Å, α = 90.00°, β = 90.00° and γ = 90.00°. The inequivalent atoms are Mg at (0.167, 0.333, 0.000), Ni at (0.141, 0.641, 0.500) and Ge at (0.000, 0.000, 0.500).

---

Density functional theory data (PBE) for BaPuAgS4 after structural relaxation.

The calculation puts the raw formation energy at -25.7 kcal/mol of atoms.

It has space group P2_1/m (No. 11), with a = 6.840 Å, b = 6.708 Å, c = 7.842 Å, α = 90.00°, β = 91.06° and γ = 90.00°. The inequivalent atoms are Ba at (0.229, 0.250, 0.057), Pu at (0.175, 0.750, 0.455), Ag at (0.340, 0.250, 0.631), S at (0.069, 0.503, 0.713), S at (0.368, 0.750, 0.162) and S at (0.490, 0.750, 0.636).

---

Density functional theory data (PBE) for Tb2Al5Rh3 after structural relaxation.

Its formation energy is -8.157 eV/f.u.

It has space group Cmc2_1 (No. 36), with a = 4.254 Å, b = 24.903 Å, c = 6.782 Å, α = 90.00°, β = 90.00° and γ = 90.00°. The inequivalent atoms are Tb at (0.000, 0.023, 0.000), Tb at (0.000, 0.325, 0.930), Al at (0.000, 0.100, 0.625), Al at (0.000, 0.207, 0.112), Al at (0.000, 0.212, 0.719), Al at (0.000, 0.371, 0.462), Al at (0.000, 0.445, 0.830), Rh at (0.000, 0.109, 0.243), Rh at (0.000, 0.271, 0.413) and Rh at (0.000, 0.452, 0.212).

---

Density functional theory data (PBE) for Pm2TmPu after structural relaxation.

Its formation energy is 1.043 eV/f.u. The calculation puts the polymorph energy (0 for the lowest one) at 14.5 kJ/mol of atoms.

It has space group R-3m (No. 166, hexagonal axes), with a = 3.4769 Å, b = 3.4769 Å, c = 37.0277 Å, α = 90.00°, β = 90.00° and γ = 120.00°. The inequivalent atoms are Pm at (0.0000, 0.0000, 0.0887), Tm at (0.0000, 0.0000, 0.5000) and Pu at (0.0000, 0.0000, 0.0000).

---

Density functional theory data (PBE) for TbNdAu after structural relaxation.

Its formation energy is -1.668 eV/f.u. The calculation puts the polymorph energy (0 for the lowest one) at 1.7 kJ/mol of atoms.

It has space group Amm2 (No. 38), with a = 4.976 Å, b = 12.407 Å, c = 8.270 Å, α = 90.00°, β = 90.00° and γ = 90.00°. The inequivalent atoms are Tb at (0.000, 0.000, 0.000), Tb at (0.000, 0.137, 0.609), Nd at (0.500, 0.000, 0.319), Nd at (0.500, 0.196, 0.922), Au at (0.000, 0.159, 0.259) and Au at (0.500, 0.000, 0.698).

---

Density functional theory data (PBE) for AcPrHo after structural relaxation.

Its formation energy is 0.149 eV/f.u. The calculation puts the polymorph energy (0 for the lowest one) at 1.9 kJ/mol of atoms.

It has space group I4mm (No. 107), with a = 3.784 Å, b = 3.784 Å, c = 15.606 Å, α = 90.00°, β = 90.00° and γ = 90.00°. The inequivalent atoms are Ac at (0.000, 0.000, 0.000), Pr at (0.000, 0.000, 0.324) and Ho at (0.000, 0.000, 0.669).

---

Density functional theory data (PBE) for Ac2Nd12Au7 after structural relaxation.

Its formation energy is -10.626 eV/f.u.

It has space group P-6 (No. 174), with a = 12.2601 Å, b = 12.2601 Å, c = 4.9811 Å, α = 90.00°, β = 90.00° and γ = 120.00°. The inequivalent atoms are Ac at (0.0000, 0.0000, 0.0000), Ac at (0.3333, 0.6667, 0.5000), Nd at (0.0696, 0.2757, 0.5000), Nd at (0.0927, 0.6786, 0.0000), Nd at (0.3890, 0.1653, 0.0000), Nd at (0.5473, 0.4273, 0.5000), Au at (0.0978, 0.4425, 0.0000), Au at (0.2706, 0.2083, 0.5000) and Au at (0.6667, 0.3333, 0.0000).

---

Density functional theory data (PBE) for TbTc2PbO8 after structural relaxation.

The calculation puts the raw formation energy at -39.2 kcal/mol of atoms.

It has space group P-3m1 (No. 164), with a = 5.9788 Å, b = 5.9788 Å, c = 7.1308 Å, α = 90.00°, β = 90.00° and γ = 120.00°. The inequivalent atoms are Tb at (0.0000, 0.0000, 0.0000), Tc at (0.3333, 0.6667, 0.2870), Pb at (0.0000, 0.0000, 0.5000), O at (0.1644, 0.3289, 0.2107) and O at (0.3333, 0.6667, 0.5337).

---

Density functional theory data (PBE) for La7Pr2Sm after structural relaxation.

Its formation energy is 0.120 eV/f.u. The calculation puts the polymorph energy (0 for the lowest one) at 0.0 kJ/mol of atoms.

It has space group P-1 (No. 2), with a = 6.443 Å, b = 7.421 Å, c = 8.329 Å, α = 77.10°, β = 74.88° and γ = 73.25°. The inequivalent atoms are La at (0.000, 0.000, 0.000), La at (0.200, 0.301, 0.601), La at (0.400, 0.101, 0.199), La at (0.400, 0.599, 0.199), Pr at (0.199, 0.800, 0.600) and Sm at (0.000, 0.500, 0.000).